[1]
{"formula": "Tb2Er3Cu4", "functional": "PBE", "state": "optimized geometry", "sg": "P2_1/c, No. 14", "final_energy_ev_per_atom": -4.565, "crystal_system": "monoclinic", "m_tot_mub_per_fu": 0.00, "cell": [[8.4582, 0.0000, 0.0000], [0.0000, 7.2133, 0.0000], [-2.2829, 0.0000, 6.6266]], "species": ["Tb", "Tb", "Tb", "Tb", "Er", "Er", "Er", "Er", "Er", "Er", "Cu", "Cu", "Cu", "Cu", "Cu", "Cu", "Cu", "Cu"], "frac_coords": [[0.1889, 0.1798, 0.0602], [0.1889, 0.3202, 0.5602], [0.8111, 0.6798, 0.4398], [0.8111, 0.8202, 0.9398], [0.2355, 0.6747, 0.2289], [0.2355, 0.8253, 0.7289], [0.5000, 0.0000, 0.5000], [0.5000, 0.5000, 0.0000], [0.7645, 0.1747, 0.2711], [0.7645, 0.3253, 0.7711], [0.0643, 0.5315, 0.8486], [0.0643, 0.9685, 0.3486], [0.4906, 0.1249, 0.8787], [0.4906, 0.3751, 0.3787], [0.5094, 0.6249, 0.6213], [0.5094, 0.8751, 0.1213], [0.9357, 0.0315, 0.6514], [0.9357, 0.4685, 0.1514]]}

***

[2]
{"formula": "NaLiAlF6", "functional": "PBE", "state": "optimized geometry", "sg": "P4_2nm, No. 102", "crystal_system": "tetragonal", "m_tot_mub_per_fu": 1.05, "formation_energy_uncorrected_mev_per_atom": -2823, "cell": [[4.8103, 0.0000, 0.0000], [0.0000, 4.8103, 0.0000], [0.0000, 0.0000, 9.3660]], "species": ["Na", "Na", "Li", "Li", "Al", "Al", "F", "F", "F", "F", "F", "F", "F", "F", "F", "F", "F", "F"], "frac_coords": [[0.0000, 0.0000, 0.0000], [0.5000, 0.5000, 0.5000], [0.0000, 0.0000, 0.3303], [0.5000, 0.5000, 0.8303], [0.0000, 0.0000, 0.6614], [0.5000, 0.5000, 0.1614], [0.1748, 0.1748, 0.5154], [0.1948, 0.1948, 0.7967], [0.2327, 0.2327, 0.1781], [0.2673, 0.7327, 0.6781], [0.3052, 0.6948, 0.2967], [0.3252, 0.6748, 0.0154], [0.6748, 0.3252, 0.0154], [0.6948, 0.3052, 0.2967], [0.7327, 0.2673, 0.6781], [0.7673, 0.7673, 0.1781], [0.8052, 0.8052, 0.7967], [0.8252, 0.8252, 0.5154]]}

***

[3]
{"formula": "CdCoTc2", "functional": "PBE", "state": "optimized geometry", "sg": "I4/mmm, No. 139", "final_energy_ev_per_atom": -6.767, "crystal_system": "tetragonal", "m_tot_mub_per_fu": 0.30, "cell": [[-1.8529, 1.8529, 4.2744], [1.8529, -1.8529, 4.2744], [1.8529, 1.8529, -4.2744]], "species": ["Cd", "Co", "Tc", "Tc"], "frac_coords": [[0.0000, 0.0000, 0.0000], [0.5000, 0.5000, 0.0000], [0.2500, 0.7500, 0.5000], [0.7500, 0.2500, 0.5000]]}

***

[4]
{"formula": "AcSm2Cd9", "functional": "PBE", "state": "optimized geometry", "sg": "R-3m, No. 166", "final_energy_ev_per_atom": -2.081, "crystal_system": "trigonal", "m_tot_mub_per_fu": 0.00, "cell": [[3.0366, 1.7532, 9.5896], [-3.0366, 1.7532, 9.5896], [0.0000, -3.5064, 9.5896]], "species": ["Ac", "Sm", "Sm", "Cd", "Cd", "Cd", "Cd", "Cd", "Cd", "Cd", "Cd", "Cd"], "frac_coords": [[0.0000, 0.0000, 0.0000], [0.1425, 0.1425, 0.1425], [0.8575, 0.8575, 0.8575], [0.0770, 0.5900, 0.5900], [0.3355, 0.3355, 0.3355], [0.4100, 0.4100, 0.9230], [0.4100, 0.9230, 0.4100], [0.5000, 0.5000, 0.5000], [0.5900, 0.0770, 0.5900], [0.5900, 0.5900, 0.0770], [0.6645, 0.6645, 0.6645], [0.9230, 0.4100, 0.4100]]}

***

[5]
{"formula": "Rb2In15Pb2", "functional": "PBE", "state": "optimized geometry", "sg": "R-3m, No. 166", "final_energy_ev_per_atom": -2.686, "crystal_system": "trigonal", "m_tot_mub_per_fu": 0.00, "cell": [[5.5665, 3.2138, 5.4338], [-5.5665, 3.2138, 5.4338], [0.0000, -6.4277, 5.4338]], "species": ["Rb", "Rb", "In", "In", "In", "In", "In", "In", "In", "In", "In", "In", "In", "In", "In", "In", "In", "Pb", "Pb"], "frac_coords": [[0.1572, 0.1572, 0.1572], [0.8428, 0.8428, 0.8428], [0.0000, 0.5000, 0.5000], [0.1458, 0.1458, 0.6554], [0.1458, 0.6554, 0.1458], [0.2036, 0.5000, 0.7964], [0.2036, 0.7964, 0.5000], [0.3446, 0.8542, 0.8542], [0.5000, 0.0000, 0.5000], [0.5000, 0.2036, 0.7964], [0.5000, 0.5000, 0.0000], [0.5000, 0.7964, 0.2036], [0.6554, 0.1458, 0.1458], [0.7964, 0.2036, 0.5000], [0.7964, 0.5000, 0.2036], [0.8542, 0.3446, 0.8542], [0.8542, 0.8542, 0.3446], [0.3982, 0.3982, 0.3982], [0.6018, 0.6018, 0.6018]]}

***

[6]
{"formula": "ReHgSe", "functional": "PBE", "state": "optimized geometry", "sg": "P-6m2, No. 187", "crystal_system": "hexagonal", "de_polymorph_mev_per_atom": 638, "m_tot_mub_per_fu": 0.00, "formation_energy_uncorrected_mev_per_atom": 917, "cell": [[4.7354, 0.0000, 0.0000], [-2.3677, 4.1010, 0.0000], [0.0000, 0.0000, 2.8127]], "species": ["Re", "Hg", "Se"], "frac_coords": [[0.0000, 0.0000, 0.0000], [0.3333, 0.6667, 0.5000], [0.6667, 0.3333, 0.0000]]}

***

[7]
{"formula": "Er3Sb4", "functional": "PBE", "state": "optimized geometry", "sg": "R-3m, No. 166", "crystal_system": "trigonal", "m_tot_mub_per_fu": 0.00, "formation_energy_uncorrected_mev_per_atom": -725, "cell": [[2.2398, 1.2931, 11.8260], [-2.2398, 1.2931, 11.8260], [0.0000, -2.5862, 11.8260]], "species": ["Er", "Er", "Er", "Sb", "Sb", "Sb", "Sb"], "frac_coords": [[0.0000, 0.0000, 0.0000], [0.2387, 0.2387, 0.2387], [0.7613, 0.7613, 0.7613], [0.1460, 0.1460, 0.1460], [0.3814, 0.3814, 0.3814], [0.6186, 0.6186, 0.6186], [0.8540, 0.8540, 0.8540]]}

***

[8]
{"formula": "LiTa4Te8", "functional": "PBE", "state": "optimized geometry", "sg": "R-3m, No. 166", "crystal_system": "trigonal", "m_tot_mub_per_fu": 0.00, "formation_energy_uncorrected_mev_per_atom": -358, "cell": [[3.6952, 2.1334, 7.7126], [-3.6952, 2.1334, 7.7126], [0.0000, -4.2668, 7.7126]], "species": ["Li", "Ta", "Ta", "Ta", "Ta", "Te", "Te", "Te", "Te", "Te", "Te", "Te", "Te"], "frac_coords": [[0.0000, 0.0000, 0.0000], [0.0000, 0.0000, 0.5000], [0.0000, 0.5000, 0.0000], [0.5000, 0.0000, 0.0000], [0.5000, 0.5000, 0.5000], [0.2459, 0.2459, 0.2459], [0.2462, 0.7458, 0.7458], [0.2542, 0.2542, 0.7538], [0.2542, 0.7538, 0.2542], [0.7458, 0.2462, 0.7458], [0.7458, 0.7458, 0.2462], [0.7538, 0.2542, 0.2542], [0.7541, 0.7541, 0.7541]]}

***

[9]
{"formula": "Hg2AsSe", "functional": "PBE", "state": "optimized geometry", "sg": "P4/mmm, No. 123", "crystal_system": "tetragonal", "m_tot_mub_per_fu": 0.00, "formation_energy_uncorrected_mev_per_atom": 244, "cell": [[3.9967, 0.0000, 0.0000], [0.0000, 3.9967, 0.0000], [0.0000, 0.0000, 6.4051]], "species": ["Hg", "Hg", "As", "Se"], "frac_coords": [[0.0000, 0.5000, 0.0000], [0.5000, 0.0000, 0.0000], [0.0000, 0.0000, 0.5000], [0.5000, 0.5000, 0.5000]]}

***

[10]
{"formula": "K2RbTiRh", "functional": "PBE", "state": "optimized geometry", "sg": "P4/mmm, No. 123", "final_energy_ev_per_atom": -3.198, "crystal_system": "tetragonal", "m_tot_mub_per_fu": 1.47, "cell": [[6.6919, 0.0000, 0.0000], [0.0000, 6.6919, 0.0000], [0.0000, 0.0000, 4.5686]], "species": ["K", "K", "Rb", "Ti", "Rh"], "frac_coords": [[0.0000, 0.5000, 0.0000], [0.5000, 0.0000, 0.0000], [0.0000, 0.0000, 0.5000], [0.5000, 0.5000, 0.5000], [0.5000, 0.5000, 0.0000]]}

***

[11]
{"formula": "GaSiS2N", "functional": "PBE", "state": "optimized geometry", "sg": "P4/mmm, No. 123", "crystal_system": "tetragonal", "de_polymorph_mev_per_atom": 640, "m_tot_mub_per_fu": 1.84, "formation_energy_uncorrected_mev_per_atom": 807, "cell": [[4.8522, 0.0000, 0.0000], [0.0000, 4.8522, 0.0000], [0.0000, 0.0000, 3.7439]], "species": ["Ga", "Si", "S", "S", "N"], "frac_coords": [[0.0000, 0.0000, 0.0000], [0.5000, 0.5000, 0.5000], [0.0000, 0.5000, 0.0000], [0.5000, 0.0000, 0.0000], [0.0000, 0.0000, 0.5000]]}

***

[12]
{"formula": "HoAl3Ir2", "functional": "PBE", "state": "optimized geometry", "sg": "C2/m, No. 12", "final_energy_ev_per_atom": -6.415, "crystal_system": "monoclinic", "m_tot_mub_per_fu": 0.00, "cell": [[8.2233, -2.0553, 0.0000], [8.2233, 2.0553, 0.0000], [-2.8177, 0.0000, 9.4354]], "species": ["Ho", "Ho", "Ho", "Al", "Al", "Al", "Al", "Al", "Al", "Al", "Al", "Al", "Ir", "Ir", "Ir", "Ir", "Ir", "Ir"], "frac_coords": [[0.0000, 0.0000, 0.0000], [0.1633, 0.1633, 0.7102], [0.8367, 0.8367, 0.2898], [0.0439, 0.0439, 0.3405], [0.2144, 0.2144, 0.3953], [0.3216, 0.3216, 0.0344], [0.3770, 0.3770, 0.7958], [0.5000, 0.5000, 0.5000], [0.6230, 0.6230, 0.2042], [0.6784, 0.6784, 0.9656], [0.7856, 0.7856, 0.6047], [0.9561, 0.9561, 0.6595], [0.1889, 0.1889, 0.1274], [0.3629, 0.3629, 0.5392], [0.4675, 0.4675, 0.2226], [0.5325, 0.5325, 0.7774], [0.6371, 0.6371, 0.4608], [0.8111, 0.8111, 0.8726]]}

***

[13]
{"formula": "AcCd11Ga", "functional": "PBE", "state": "optimized geometry", "sg": "C2/m, No. 12", "final_energy_ev_per_atom": -1.449, "crystal_system": "monoclinic", "m_tot_mub_per_fu": 0.00, "cell": [[2.9815, -7.1804, 0.0000], [2.9815, 7.1804, 0.0000], [-2.9636, 0.0000, 7.1030]], "species": ["Ac", "Cd", "Cd", "Cd", "Cd", "Cd", "Cd", "Cd", "Cd", "Cd", "Cd", "Cd", "Ga"], "frac_coords": [[0.0000, 0.0000, 0.0000], [0.0000, 0.0000, 0.5000], [0.0000, 0.5000, 0.0000], [0.0060, 0.3590, 0.3562], [0.2858, 0.4997, 0.7829], [0.3590, 0.0060, 0.3562], [0.5000, 0.0000, 0.0000], [0.4997, 0.2858, 0.7829], [0.5003, 0.7142, 0.2171], [0.6410, 0.9940, 0.6438], [0.7142, 0.5003, 0.2171], [0.9940, 0.6410, 0.6438], [0.5000, 0.5000, 0.5000]]}

***

[14]
{"formula": "YTa5", "functional": "PBE", "state": "optimized geometry", "sg": "Amm2, No. 38", "crystal_system": "orthorhombic", "de_polymorph_mev_per_atom": 34, "m_tot_mub_per_fu": 0.00, "cell": [[4.8034, 0.0000, 0.0000], [0.0000, 1.7012, 7.3153], [0.0000, -1.7012, 7.3153]], "species": ["Y", "Ta", "Ta", "Ta", "Ta", "Ta"], "frac_coords": [[0.0000, 0.0000, 0.0000], [0.0000, 0.3228, 0.3228], [0.0000, 0.6763, 0.6763], [0.5000, 0.1841, 0.1841], [0.5000, 0.5303, 0.5303], [0.5000, 0.8421, 0.8421]]}

***

[15]
{"formula": "BaNi2Mo", "functional": "PBE", "state": "optimized geometry", "sg": "Pm, No. 6", "crystal_system": "monoclinic", "de_polymorph_mev_per_atom": 315, "m_tot_mub_per_fu": 0.00, "cell": [[3.4633, 0.0000, 0.0000], [0.0000, 3.9729, 0.0000], [-1.1053, 0.0000, 6.2879]], "species": ["Ba", "Ni", "Ni", "Mo"], "frac_coords": [[0.0000, 0.0000, 0.0000], [0.3904, 0.5000, 0.7133], [0.4091, 0.0000, 0.4827], [0.8073, 0.5000, 0.4632]]}

***

[16]
{"formula": "InBiOsO2", "functional": "PBE", "state": "optimized geometry", "sg": "P4/mmm, No. 123", "crystal_system": "tetragonal", "de_polymorph_mev_per_atom": 748, "m_tot_mub_per_fu": 1.12, "formation_energy_uncorrected_mev_per_atom": 654, "cell": [[3.9638, 0.0000, 0.0000], [0.0000, 3.9638, 0.0000], [0.0000, 0.0000, 7.3852]], "species": ["In", "Bi", "Os", "O", "O"], "frac_coords": [[0.0000, 0.0000, 0.0000], [0.0000, 0.0000, 0.5000], [0.5000, 0.5000, 0.5000], [0.0000, 0.5000, 0.0000], [0.5000, 0.0000, 0.0000]]}

***

[17]
{"formula": "MgW3Au", "functional": "PBE", "state": "optimized geometry", "sg": "Pm-3m, No. 221", "crystal_system": "cubic", "de_polymorph_mev_per_atom": 48, "m_tot_mub_per_fu": 0.00, "cell": [[4.8792, 0.0000, 0.0000], [0.0000, 4.8792, 0.0000], [0.0000, 0.0000, 4.8792]], "species": ["Mg", "W", "W", "W", "Au"], "frac_coords": [[0.0000, 0.0000, 0.0000], [0.0000, 0.5000, 0.5000], [0.5000, 0.0000, 0.5000], [0.5000, 0.5000, 0.0000], [0.5000, 0.5000, 0.5000]]}

***

[18]
{"formula": "CePuCuSi", "functional": "PBE", "state": "optimized geometry", "sg": "P3m1, No. 156", "crystal_system": "trigonal", "m_tot_mub_per_fu": 7.18, "formation_energy_uncorrected_mev_per_atom": -126, "cell": [[4.7713, 0.0000, 0.0000], [-2.3857, 4.1321, 0.0000], [0.0000, 0.0000, 4.6861]], "species": ["Ce", "Pu", "Cu", "Si"], "frac_coords": [[0.0000, 0.0000, 0.0000], [0.3333, 0.6667, 0.5009], [0.6667, 0.3333, 0.7531], [0.6667, 0.3333, 0.2561]]}

***

[19]
{"formula": "Na3Cd3In5", "functional": "PBE", "state": "optimized geometry", "sg": "P-62m, No. 189", "crystal_system": "hexagonal", "de_polymorph_mev_per_atom": 83, "m_tot_mub_per_fu": 0.00, "cell": [[9.0855, 0.0000, 0.0000], [-4.5427, 7.8682, 0.0000], [0.0000, 0.0000, 5.6515]], "species": ["Na", "Na", "Na", "Cd", "Cd", "Cd", "In", "In", "In", "In", "In"], "frac_coords": [[0.0000, 0.4875, 0.0000], [0.4875, 0.0000, 0.0000], [0.5125, 0.5125, 0.0000], [0.0000, 0.6548, 0.5000], [0.3452, 0.3452, 0.5000], [0.6548, 0.0000, 0.5000], [0.0000, 0.2952, 0.5000], [0.2952, 0.0000, 0.5000], [0.3333, 0.6667, 0.5000], [0.6667, 0.3333, 0.5000], [0.7048, 0.7048, 0.5000]]}

***

[20]
{"formula": "GdDyZn", "functional": "PBE", "state": "optimized geometry", "sg": "P3m1, No. 156", "crystal_system": "trigonal", "de_polymorph_mev_per_atom": 166, "m_tot_mub_per_fu": 7.32, "cell": [[5.0005, 0.0000, 0.0000], [-2.5003, 4.3306, 0.0000], [0.0000, 0.0000, 3.6566]], "species": ["Gd", "Dy", "Zn"], "frac_coords": [[0.0000, 0.0000, 0.0000], [0.3333, 0.6667, 0.5428], [0.6667, 0.3333, 0.3056]]}